DFT (GGA-PBE) results for La4Tm3In4 after structural relaxation.

Lattice parameters (Å, degrees): 3.5594 9.5013 19.8950 90.00 90.00 90.00
Closest atoms and distances in Å follow each position.
Space group Immm (No. 71)
Symmetry-distinct sites (fractional):
La  0.0000  0.1663  0.1608 (multiplicity 8)  1 La 3.16, 4 In 3.37-3.38
Tm  0.0000  0.0000  0.4099 (multiplicity 4)  6 In 3.12-3.28
Tm  0.0000  0.5000  0.5000 (multiplicity 2)  4 In 3.21, 2 Tm 3.56
In  0.0000  0.2806  0.0000 (multiplicity 4)  6 Tm 3.21-3.28, 2 La 3.38, 2 In 3.56
In  0.0000  0.5000  0.2187 (multiplicity 4)  2 Tm 3.12, 6 La 3.37-3.38

Results
Density of states at the Fermi level (states/eV per cell): 21.07
Formation enthalpy at 0 K (meV/atom): -325

---

DFT (GGA-PBE) results for LaTm4In after structural relaxation.

Lattice parameters (Å, degrees): 3.5663 3.5663 14.1550 90.00 90.00 90.00
Closest atoms and distances in Å follow each position.
Space group P4/mmm (No. 123)
Symmetry-distinct sites (fractional):
La  0.0000  0.0000  0.0000 (multiplicity 1)  4 La 3.57, 8 Tm 3.62
Tm  0.0000  0.0000  0.3541 (multiplicity 2)  4 In 3.26, 8 Tm 3.50-3.57
Tm  0.5000  0.5000  0.1831 (multiplicity 2)  8 Tm 3.50-3.57, 4 La 3.62
In  0.5000  0.5000  0.5000 (multiplicity 1)  8 Tm 3.26, 4 In 3.57

Results
Density of states at the Fermi level (states/eV per cell): 6.50
Formation enthalpy at 0 K (meV/atom): -138

---

DFT (GGA-PBE) results for LaTm3In after structural relaxation.

Lattice parameters (Å, degrees): 14.6794 13.0887 6.4360 90.00 104.26 90.00
Closest atoms and distances in Å follow each position.
Space group C2/c (No. 15)
Symmetry-distinct sites (fractional):
La  0.1039  0.0656  0.4841 (multiplicity 8)  8 Tm 3.37-3.71, 4 La 3.55-3.72
Tm  0.0998  0.1974  0.9893 (multiplicity 8)  2 In 3.21-3.34, 3 Tm 3.26-3.47, 2 La 3.44-3.49
Tm  0.1862  0.3138  0.6326 (multiplicity 8)  2 In 3.24-3.26, 6 Tm 3.26-3.59, 1 La 3.51
Tm  0.1933  0.4278  0.1301 (multiplicity 8)  2 In 3.27, 4 Tm 3.35-3.59, 1 La 3.37
In  0.0000  0.3530  0.2500 (multiplicity 4)  3 In 3.10-3.30, 6 Tm 3.21-3.27
In  0.0000  0.4101  0.7500 (multiplicity 4)  3 In 3.10-3.30, 6 Tm 3.26-3.34

Results
Density of states at the Fermi level (states/eV per cell): 52.46
Formation enthalpy at 0 K (meV/atom): -86

---

DFT (GGA-PBE) results for La2TmIn after structural relaxation.

Lattice parameters (Å, degrees): 7.9642 7.9642 7.9642 90.00 90.00 90.00
Closest atoms and distances in Å follow each position.
Space group Fm-3m (No. 225)
Symmetry-distinct sites (fractional):
La  0.2500  0.2500  0.2500 (multiplicity 8)  4 In 3.45, 4 Tm 3.45
Tm  0.0000  0.0000  0.0000 (multiplicity 4)  8 La 3.45
In  0.0000  0.0000  0.5000 (multiplicity 4)  8 La 3.45

Results
Density of states at the Fermi level (states/eV per cell): 28.60
Formation enthalpy at 0 K (meV/atom): -177